Entry 1:
Compound: AcPr3Nd2Sm6
Source: the Alexandria database
Functional: PBE
Structure: relaxed

space-group type: No. 12
calculated formation energy: 0.0184 eV/atom

Cell lengths 6.403, 6.403, 12.178 Å; angles 95.03, 95.03, 120.01 degrees
Atoms (fractional coordinates):
1 Ac 0.000 0.000 0.000
2 Pr 0.167 0.833 0.500
3 Pr 0.833 0.167 0.500
4 Pr 0.500 0.500 0.500
5 Nd 0.333 0.667 0.000
6 Nd 0.667 0.333 0.000
7 Sm 0.915 0.580 0.748
8 Sm 0.749 0.749 0.252
9 Sm 0.085 0.420 0.252
10 Sm 0.580 0.915 0.748
11 Sm 0.251 0.251 0.748
12 Sm 0.420 0.085 0.252


Entry 2:
Compound: SrLiTa2O6F
Source: the Alexandria database
Functional: PBE
Structure: relaxed

ΔE_f (raw): -2993 meV per atom
space-group type: No. 74

Cell lengths 7.460, 7.460, 7.460 Å; angles 120.37, 119.42, 90.18 degrees
Atoms (fractional coordinates):
1 Sr 0.000 0.500 0.500
2 Sr 0.500 0.500 0.000
3 Li 0.500 0.000 0.000
4 Li 0.500 0.500 0.500
5 Ta 0.000 0.000 0.500
6 Ta 0.000 0.000 0.000
7 Ta 0.000 0.500 0.000
8 Ta 0.500 0.000 0.500
9 O 0.064 0.931 0.745
10 O 0.071 0.321 0.750
11 O 0.064 0.318 0.133
12 O 0.685 0.931 0.367
13 O 0.936 0.069 0.255
14 O 0.689 0.939 0.750
15 O 0.929 0.679 0.250
16 O 0.685 0.318 0.755
17 O 0.936 0.682 0.867
18 O 0.315 0.069 0.633
19 O 0.315 0.682 0.245
20 O 0.311 0.061 0.250
21 F 0.601 0.351 0.250
22 F 0.399 0.649 0.750


Entry 3:
Compound: TcSnO2F
Source: the Alexandria database
Functional: PBE
Structure: relaxed

ΔE_f (raw): -1067 meV per atom
space-group type: No. 123

Cell lengths 3.908, 3.908, 4.570 Å; angles 90.00, 90.00, 90.00 degrees
Last column: magnetic moment on the atom in μB.
Atoms (fractional coordinates):
1 F 0.000 0.000 0.500  0.00
2 Sn 0.500 0.500 0.500  -0.01
3 O 0.000 0.500 0.000  0.04
4 O 0.500 0.000 0.000  0.04
5 Tc 0.000 0.000 0.000  0.36


Entry 4:
Compound: ZnBi2Pd
Source: the Alexandria database
Functional: PBE
Structure: relaxed

space-group type: No. 122
calculated formation energy: 0.0854 eV/atom

Cell lengths 4.845, 4.845, 9.555 Å; angles 75.31, 75.31, 90.00 degrees
Atoms (fractional coordinates):
1 Zn 0.500 0.500 0.000
2 Zn 0.250 0.750 0.500
3 Bi 0.636 0.125 0.250
4 Bi 0.114 0.625 0.250
5 Bi 0.375 0.364 0.750
6 Bi 0.875 0.886 0.750
7 Pd 0.000 0.000 0.000
8 Pd 0.750 0.250 0.500


Entry 5:
Compound: NaCoAgCl4
Source: the Alexandria database
Functional: PBE
Structure: relaxed

ΔE_f (raw): -761 meV per atom
space-group type: No. 82

Cell lengths 6.834, 6.834, 6.110 Å; angles 124.00, 124.00, 90.00 degrees
Last column: magnetic moment on the atom in μB.
Atoms (fractional coordinates):
1 Na 0.500 0.500 0.000  0.00
2 Co 0.250 0.750 0.500  0.94
3 Ag 0.000 0.000 0.000  0.00
4 Cl 0.005 0.953 0.543  0.00
5 Cl 0.410 0.995 0.457  0.00
6 Cl 0.538 0.590 0.543  0.00
7 Cl 0.047 0.462 0.457  0.00


Entry 6:
Compound: ReSb2Os
Source: the Alexandria database
Functional: PBE
Structure: relaxed

ΔE_f (raw): 1012 meV per atom
space-group type: No. 65
excess energy over the best structure of this formula in the dataset: 279.1 kJ/mol of formula units

Cell lengths 3.152, 3.152, 8.653 Å; angles 90.00, 90.00, 118.53 degrees
Atoms (fractional coordinates):
1 Os 0.500 0.500 0.250
2 Re 0.500 0.500 0.750
3 Sb 0.000 0.000 0.002
4 Sb 0.000 0.000 0.498


Entry 7:
Compound: TmMgAl2Ag2
Source: the Alexandria database
Functional: PBE
Structure: relaxed

space-group type: No. 164
calculated formation energy: -0.2654 eV/atom

Cell lengths 4.571, 4.571, 6.505 Å; angles 90.00, 90.00, 120.00 degrees
Atoms (fractional coordinates):
1 Tm 0.000 0.000 0.000
2 Mg 0.000 0.000 0.500
3 Al 0.333 0.667 0.742
4 Al 0.667 0.333 0.258
5 Ag 0.333 0.667 0.269
6 Ag 0.667 0.333 0.731


Entry 8:
Compound: SrLaCo2
Source: the Alexandria database
Functional: PBE
Structure: relaxed

space-group type: No. 44
excess energy over the best structure of this formula in the dataset: 25.2 kJ/mol of formula units
calculated formation energy: 0.1422 eV/atom

Cell lengths 7.509, 7.509, 7.509 Å; angles 148.89, 148.14, 45.13 degrees
Last column: magnetic moment on the atom in μB.
Atoms (fractional coordinates):
1 Co 0.086 0.086 0.000  0.67
2 Co 0.146 0.646 0.500  0.60
3 La 0.515 0.515 0.000  -0.12
4 Sr 0.753 0.253 0.500  -0.03


Entry 9:
Compound: Li2Ce3Zn7
Source: the Alexandria database
Functional: PBE
Structure: relaxed

space-group type: No. 166
calculated formation energy: -0.2067 eV/atom

Cell lengths 5.484, 5.484, 9.206 Å; angles 72.67, 72.67, 60.00 degrees
Last column: magnetic moment on the atom in μB.
Atoms (fractional coordinates):
1 Li 0.667 0.667 0.999  0.00
2 Li 0.333 0.333 0.001  0.00
3 Ce 0.000 0.000 0.000  0.76
4 Ce 0.856 0.856 0.431  0.52
5 Ce 0.144 0.144 0.569  0.52
6 Zn 0.500 0.500 0.500  0.00
7 Zn 0.920 0.419 0.243  0.00
8 Zn 0.419 0.920 0.243  0.00
9 Zn 0.419 0.419 0.243  0.00
10 Zn 0.080 0.581 0.757  0.00
11 Zn 0.581 0.581 0.757  0.00
12 Zn 0.581 0.080 0.757  0.00


Entry 10:
Compound: BaBe2Mo
Source: the Alexandria database
Functional: PBE
Structure: relaxed

space-group type: No. 225
excess energy over the best structure of this formula in the dataset: 298.6 kJ/mol of formula units
calculated formation energy: 1.2351 eV/atom

Cell lengths 4.711, 4.711, 4.711 Å; angles 60.00, 60.00, 60.00 degrees
Atoms (fractional coordinates):
1 Be 0.250 0.250 0.250
2 Be 0.750 0.750 0.750
3 Mo 0.000 0.000 0.000
4 Ba 0.500 0.500 0.500


Entry 11:
Compound: GaPRuAu2S
Source: the Alexandria database
Functional: PBE
Structure: relaxed

ΔE_f (raw): -142 meV per atom
space-group type: No. 8
excess energy over the best structure of this formula in the dataset: 2.3 kJ/mol of formula units

Cell lengths 5.714, 3.537, 11.343 Å; angles 90.00, 92.80, 90.00 degrees
Atoms (fractional coordinates):
1 Ga 0.047 0.000 0.941
2 Ga 0.047 0.500 0.441
3 P 0.653 0.000 0.715
4 P 0.653 0.500 0.215
5 Ru 0.837 0.000 0.141
6 Ru 0.837 0.500 0.641
7 Au 0.338 0.000 0.120
8 Au 0.338 0.500 0.620
9 Au 0.589 0.000 0.919
10 Au 0.589 0.500 0.419
11 S 0.105 0.000 0.308
12 S 0.105 0.500 0.808


Entry 12:
Compound: Zr2TaRu
Source: the Alexandria database
Functional: PBE
Structure: relaxed

space-group type: No. 123
excess energy over the best structure of this formula in the dataset: 6.1 kJ/mol of formula units
calculated formation energy: -0.2306 eV/atom

Cell lengths 3.279, 3.279, 7.088 Å; angles 90.00, 90.00, 90.00 degrees
Atoms (fractional coordinates):
1 Ru 0.500 0.500 0.250
2 Zr 0.000 0.000 0.019
3 Zr 0.000 0.000 0.481
4 Ta 0.500 0.500 0.750


no.,total DFT energy (no corrections) (eV/atom)
1,-4.673
2,-8.350
3,-6.299
4,-3.472
5,-3.427
6,-6.968
7,-3.474
8,-5.063
9,-2.752
10,-3.816
11,-4.875
12,-9.787